GaFe2Sn2 | PBE-GGA | relaxed

Calculated values
- energy relative to the elements (kJ/mol of formula units) = 79
- electronic total energy (eV for the cell shown) = -54.27
- density (kg/m3) = 8719

Unit cell a=6.456 b=6.456 c=3.828 alpha=90.00 beta=90.00 gamma=90.00
Atoms (fractional coordinates):
Ga (0.000, 0.000, 0.000)
Ga (0.500, 0.500, 0.000)
Fe (0.143, 0.357, 0.000)
Fe (0.357, 0.857, 0.000)
Fe (0.643, 0.143, 0.000)
Fe (0.857, 0.643, 0.000)
Sn (0.162, 0.662, 0.500)
Sn (0.338, 0.162, 0.500)
Sn (0.662, 0.838, 0.500)
Sn (0.838, 0.338, 0.500)